No. 1
## AsRuS3 (PBE-GGA)

Data for a geometry-optimized AsRuS3 structure.

```
5
Lattice="4.688 0.000 0.000 0.000 4.688 0.000 0.000 0.000 4.688" Properties=species:S:1:pos:R:3 pbc="T T T"
As 0.000 0.000 0.000
Ru 2.344 2.344 2.344
S 0.000 0.000 2.344
S 0.000 2.344 0.000
S 2.344 0.000 0.000
```

distance to the lowest polymorph of the same formula: 523 meV/atom
symmetry: Pm-3m, No. 221
size of the total moment: 3.9 μB/cell
formation energy without anion corrections: 1.10 eV per atom
N(E_F): 1.611 states/eV/atom
VASP energy: -4.165 eV per atom

=====

No. 2
## Tb5Dy3 (PBE-GGA)

Data for a geometry-optimized Tb5Dy3 structure.

```
8
Lattice="3.627 0.000 0.000 0.000 5.639 0.000 0.000 0.000 12.548" Properties=species:S:1:pos:R:3 pbc="T T T"
Tb 0.000 0.000 0.000
Tb 0.000 0.000 6.259
Tb 0.000 2.820 10.443
Tb 1.814 0.000 9.406
Tb 1.814 2.820 7.295
Dy 0.000 2.820 4.161
Dy 1.814 0.000 3.126
Dy 1.814 2.820 1.035
```

formation energy: 9 kJ/mol of formula units
symmetry: Pmm2, No. 25
size of the total moment: 0.0 μB/cell
N(E_F): 1.621 states/eV/atom
VASP energy: -4.608 eV per atom

=====

No. 3
## BeHOsF2 (PBE-GGA)

Data for a geometry-optimized BeHOsF2 structure.

```
5
Lattice="3.924 0.000 0.000 0.000 3.924 0.000 0.000 0.000 4.583" Properties=species:S:1:pos:R:3 pbc="T T T"
Be 0.000 0.000 0.000
H 1.962 1.962 0.000
Os 0.000 0.000 2.292
F 0.000 1.962 2.292
F 1.962 0.000 2.292
```

symmetry: P4/mmm, No. 123
size of the total moment: 0.0 μB/cell
N(E_F): 0.631 states/eV/atom
VASP energy: -4.171 eV per atom